The following is a DFT calculation (GGA-PBE) of a relaxed SrPIr2 crystal.

Lattice parameters (Å, degrees): 5.647 5.647 5.647 149.27 125.59 63.80
Sites, in units of the cell vectors:
Sr (0.732, 0.232, 0.500)
P (0.460, 0.460, 0.000)
Ir (0.032, 0.032, 0.000)
Ir (0.275, 0.775, 0.500)

Summary:
Spin magnetization in μB/atom: 0.000
Energy relative to the elements in eV/atom: 0.08